1.
CoMoCl2 (PBE, optimized geometry); SG = P2/m; ΔE_f (raw) = 0.5043 eV/atom; D(E_F) = 4.77 states/eV per cell
1.0
2.9149 0.0000 0.0000
0.0000 4.0789 0.0000
-1.3109 0.0000 5.5259
Co Mo Cl
1 1 2
Cartesian
0.0000 0.0000 0.0000
-0.6555 0.0000 2.7629
-0.6041 2.0395 4.1743
2.2080 2.0395 1.3516

2.
Ba2NpW2N6 (PBE, optimized geometry); SG = R-3m; ΔE_f (raw) = -0.7719 eV/atom; D(E_F) = 5.47 states/eV per cell
1.0
3.1096 1.7954 6.1186
-3.1096 1.7954 6.1186
0.0000 -3.5907 6.1186
Ba Np W N
2 1 2 6
Cartesian
0.0000 0.0000 3.9812
0.0000 0.0000 14.3745
0.0000 0.0000 0.0000
0.0000 0.0000 7.8566
0.0000 0.0000 10.4991
0.0000 -1.8310 7.5227
-1.5857 0.9155 7.5227
-1.5857 -0.9155 10.8331
1.5857 0.9155 7.5226
1.5857 -0.9155 10.8331
0.0000 1.8310 10.8331

3.
Tl2Sn6Pb (PBE, optimized geometry); SG = C2/m; D(E_F) = 5.82 states/eV per cell; energy relative to the elements = 0.36 eV per formula unit
1.0
4.2930 -4.7904 0.0000
4.2930 4.7904 0.0000
-1.0060 0.0000 6.3066
Tl Sn Pb
2 6 1
Cartesian
1.2493 0.0000 1.0381
6.3308 0.0000 5.2685
0.7687 1.6020 4.1917
6.8114 -1.6020 2.1149
0.7687 -1.6020 4.1917
4.2930 1.5756 0.0000
4.2930 -1.5756 0.0000
6.8114 1.6020 2.1149
3.7900 0.0000 3.1533

| no. | total magnetization (μB/f.u.) |
| --- | --- |
| 1 | 2.35 |
| 2 | 3.00 |
| 3 | 0.00 |